No. 1
A plane-wave DFT calculation with PBE-GGA was carried out for AcLa2NdIn after structural relaxation.

The space group is Cmcm (No. 63) and the conventional cell measures 6.9641, 15.3032 and 7.0352 Å, with angles of 90.00, 90.00 and 90.00 degrees. The inequivalent atoms are Ac at (0.0000, 0.2479, 0.2500), La at (0.2420, 0.0000, 0.0000), Nd at (0.0000, 0.3484, 0.7500) and In at (0.0000, 0.1499, 0.7500).

The formation energy is 0 meV/atom.

No. 2
A plane-wave DFT calculation with PBE-GGA was carried out for BeRuBr after structural relaxation.

The space group is P-6m2 (No. 187) and the conventional cell measures 3.9215, 3.9215 and 3.4805 Å, with angles of 90.00, 90.00 and 120.00 degrees. The inequivalent atoms are Be at (0.0000, 0.0000, 0.0000), Ru at (0.3333, 0.6667, 0.0000) and Br at (0.6667, 0.3333, 0.5000).

As for the raw formation energy: 832 meV/atom. The offset from the most stable computed form comes out at 341.1 meV per atom.